Entry from Alexandria: a geometry-optimized H2Pd5Au structure (PBE).

Properties
SG	No. 2
N(E_F)	1.17	states/eV per atom
E	-4.561	eV per atom

Unit cell a=2.845 b=4.988 c=7.218 alpha=96.74 beta=101.21 gamma=90.32
Sites, in units of the cell vectors:
H1 0.226 0.234 0.464
H2 0.774 0.766 0.536
Pd1 0.164 0.887 0.329
Pd2 0.335 0.613 0.669
Pd3 0.500 0.000 0.000
Pd4 0.665 0.387 0.331
Pd5 0.836 0.113 0.671
Au1 0.000 0.500 0.000